Record 1
A plane-wave DFT calculation with PBEsol was carried out for a relaxed AlFe2Ni crystal.

Values from the calculation:
Symmetry   R-3m, No. 166
Total energy   -28.17 eV per cell
Formation energy from the elements   0.00 eV per atom

```
data_AlFe2Ni
_symmetry_space_group_name_H-M 'P 1'
_symmetry_Int_Tables_number 1
_cell_length_a 8.182
_cell_length_b 8.182
_cell_length_c 8.182
_cell_angle_alpha 17.96
_cell_angle_beta 17.96
_cell_angle_gamma 17.96
loop_
_symmetry_equiv_pos_as_xyz
'x,y,z'
loop_
_atom_site_label
_atom_site_type_symbol
_atom_site_fract_x
_atom_site_fract_y
_atom_site_fract_z
Al1 Al 0.000 0.000 0.000
Fe1 Fe 0.248 0.248 0.248
Fe2 Fe 0.752 0.752 0.752
Ni1 Ni 0.500 0.500 0.500
```

=====

Record 2
A plane-wave DFT calculation with PBEsol was carried out for a relaxed AlFeNi2Se crystal.

Values from the calculation:
Symmetry   P4/mmm, No. 123
Formation energy (no corrections)   872 meV per atom
Total energy   -24.86 eV per cell

```
data_AlFeNi2Se
_symmetry_space_group_name_H-M 'P 1'
_symmetry_Int_Tables_number 1
_cell_length_a 4.214
_cell_length_b 4.214
_cell_length_c 4.845
_cell_angle_alpha 90.00
_cell_angle_beta 90.00
_cell_angle_gamma 90.00
loop_
_symmetry_equiv_pos_as_xyz
'x,y,z'
loop_
_atom_site_label
_atom_site_type_symbol
_atom_site_fract_x
_atom_site_fract_y
_atom_site_fract_z
Al1 Al 0.000 0.000 0.000
Fe1 Fe 0.500 0.500 0.000
Ni1 Ni 0.000 0.500 0.500
Ni2 Ni 0.500 0.000 0.500
Se1 Se 0.000 0.000 0.500
```

=====

Record 3
A plane-wave DFT calculation with PBEsol was carried out for a relaxed Al2FeO4 crystal.

Values from the calculation:
Symmetry   Fd-3m, No. 227
Formation energy (no corrections)   -2412 meV per atom
Energy above the lowest structure with this stoichiometry   0 meV per atom
Total energy   -110.06 eV per cell

```
data_Al2FeO4
_symmetry_space_group_name_H-M 'P 1'
_symmetry_Int_Tables_number 1
_cell_length_a 5.748
_cell_length_b 5.748
_cell_length_c 5.748
_cell_angle_alpha 60.00
_cell_angle_beta 60.00
_cell_angle_gamma 60.00
loop_
_symmetry_equiv_pos_as_xyz
'x,y,z'
loop_
_atom_site_label
_atom_site_type_symbol
_atom_site_fract_x
_atom_site_fract_y
_atom_site_fract_z
Al1 Al 0.000 0.000 0.000
Al2 Al 0.000 0.000 0.500
Al3 Al 0.000 0.500 0.000
Al4 Al 0.500 0.000 0.000
Fe1 Fe 0.375 0.375 0.375
Fe2 Fe 0.625 0.625 0.625
O1 O 0.206 0.765 0.765
O2 O 0.235 0.235 0.235
O3 O 0.235 0.235 0.794
O4 O 0.235 0.794 0.235
O5 O 0.765 0.206 0.765
O6 O 0.765 0.765 0.206
O7 O 0.765 0.765 0.765
O8 O 0.794 0.235 0.235
```

=====

Record 4
A plane-wave DFT calculation with PBEsol was carried out for a relaxed Al2FeO4 crystal.

Values from the calculation:
Symmetry   Imma, No. 74
Formation energy (no corrections)   -2366 meV per atom
Energy above the lowest structure with this stoichiometry   47 meV per atom
Total energy   -109.41 eV per cell

```
data_Al2FeO4
_symmetry_space_group_name_H-M 'P 1'
_symmetry_Int_Tables_number 1
_cell_length_a 5.755
_cell_length_b 5.755
_cell_length_c 5.755
_cell_angle_alpha 122.71
_cell_angle_beta 118.67
_cell_angle_gamma 88.84
loop_
_symmetry_equiv_pos_as_xyz
'x,y,z'
loop_
_atom_site_label
_atom_site_type_symbol
_atom_site_fract_x
_atom_site_fract_y
_atom_site_fract_z
Al1 Al 0.000 0.000 0.000
Al2 Al 0.386 0.636 0.750
Al3 Al 0.500 0.000 0.500
Al4 Al 0.614 0.364 0.250
Fe1 Fe 0.000 0.000 0.500
Fe2 Fe 0.000 0.500 0.000
O1 O 0.241 0.230 0.012
O2 O 0.253 0.239 0.487
O3 O 0.253 0.766 0.013
O4 O 0.282 0.770 0.512
O5 O 0.718 0.230 0.488
O6 O 0.747 0.234 0.987
O7 O 0.747 0.761 0.513
O8 O 0.759 0.770 0.988
```

=====

Record 5
A plane-wave DFT calculation with PBEsol was carried out for a relaxed AlFe2O4 crystal.

Values from the calculation:
Symmetry   Fd-3m, No. 227
Formation energy (no corrections)   -1749 meV per atom
Total energy   -110.52 eV per cell

```
data_AlFe2O4
_symmetry_space_group_name_H-M 'P 1'
_symmetry_Int_Tables_number 1
_cell_length_a 5.837
_cell_length_b 5.837
_cell_length_c 5.837
_cell_angle_alpha 60.00
_cell_angle_beta 60.00
_cell_angle_gamma 60.00
loop_
_symmetry_equiv_pos_as_xyz
'x,y,z'
loop_
_atom_site_label
_atom_site_type_symbol
_atom_site_fract_x
_atom_site_fract_y
_atom_site_fract_z
Al1 Al 0.125 0.125 0.125
Al2 Al 0.875 0.875 0.875
Fe1 Fe 0.000 0.500 0.500
Fe2 Fe 0.500 0.000 0.500
Fe3 Fe 0.500 0.500 0.000
Fe4 Fe 0.500 0.500 0.500
O1 O 0.250 0.250 0.250
O2 O 0.250 0.250 0.750
O3 O 0.250 0.750 0.250
O4 O 0.250 0.750 0.750
O5 O 0.750 0.250 0.250
O6 O 0.750 0.250 0.750
O7 O 0.750 0.750 0.250
O8 O 0.750 0.750 0.750
```

=====

Record 6
A plane-wave DFT calculation with PBEsol was carried out for a relaxed AlFe2Os crystal.

Values from the calculation:
Symmetry   P4mm, No. 99
Total energy   -34.69 eV per cell
Formation energy from the elements   -0.11 eV per atom

```
data_AlFe2Os
_symmetry_space_group_name_H-M 'P 1'
_symmetry_Int_Tables_number 1
_cell_length_a 2.884
_cell_length_b 2.884
_cell_length_c 5.808
_cell_angle_alpha 90.00
_cell_angle_beta 90.00
_cell_angle_gamma 90.00
loop_
_symmetry_equiv_pos_as_xyz
'x,y,z'
loop_
_atom_site_label
_atom_site_type_symbol
_atom_site_fract_x
_atom_site_fract_y
_atom_site_fract_z
Al1 Al 0.000 0.000 0.000
Fe1 Fe 0.000 0.000 0.463
Fe2 Fe 0.500 0.500 0.245
Os1 Os 0.500 0.500 0.719
```

=====

Record 7
A plane-wave DFT calculation with PBEsol was carried out for a relaxed AlFe2Os crystal.

Values from the calculation:
Symmetry   Pmmm, No. 47
Total energy   -34.64 eV per cell
Formation energy from the elements   -0.10 eV per atom

```
data_AlFe2Os
_symmetry_space_group_name_H-M 'P 1'
_symmetry_Int_Tables_number 1
_cell_length_a 2.950
_cell_length_b 4.017
_cell_length_c 4.114
_cell_angle_alpha 90.00
_cell_angle_beta 90.00
_cell_angle_gamma 90.00
loop_
_symmetry_equiv_pos_as_xyz
'x,y,z'
loop_
_atom_site_label
_atom_site_type_symbol
_atom_site_fract_x
_atom_site_fract_y
_atom_site_fract_z
Al1 Al 0.000 0.000 0.000
Fe1 Fe 0.000 0.500 0.500
Fe2 Fe 0.500 0.000 0.500
Os1 Os 0.500 0.500 0.000
```

=====

Record 8
A plane-wave DFT calculation with PBEsol was carried out for a relaxed AlFe2Os crystal.

Values from the calculation:
Symmetry   Imm2, No. 44
Total energy   -34.62 eV per cell
Formation energy from the elements   -0.10 eV per atom

```
data_AlFe2Os
_symmetry_space_group_name_H-M 'P 1'
_symmetry_Int_Tables_number 1
_cell_length_a 4.777
_cell_length_b 4.777
_cell_length_c 4.777
_cell_angle_alpha 144.37
_cell_angle_beta 128.91
_cell_angle_gamma 63.83
loop_
_symmetry_equiv_pos_as_xyz
'x,y,z'
loop_
_atom_site_label
_atom_site_type_symbol
_atom_site_fract_x
_atom_site_fract_y
_atom_site_fract_z
Al1 Al 0.000 0.000 0.000
Fe1 Fe 0.254 0.754 0.500
Fe2 Fe 0.484 0.484 0.000
Os1 Os 0.735 0.235 0.500
```